Material: Li4PrAg2
Method: DFT, GGA-PBE
State: relaxed

abc: 4.589 4.589 8.413
angles: 74.17 74.17 60.00
Fractional coordinates of all 7 atoms:
Li  0.857  0.857  0.428
Li  0.143  0.143  0.572
Li  0.433  0.433  0.702
Li  0.567  0.567  0.298
Ag  0.255  0.255  0.236
Ag  0.745  0.745  0.764
Pr  0.000  0.000  0.000

Results
density of states at the Fermi level	5.1	states/eV per cell
space group	No. 166
total energy	-2.715	eV/atom
formation enthalpy at 0 K	-0.124	eV per atom
E above lowest polymorph	23	meV per atom
total magnetic moment	0.00	μB per atom